An optimized crystal structure of BaNa4In4. Source: the Alexandria database, functional PBE.

The value obtained for the total DFT energy (no corrections) is -18.745 eV/f.u. As for the density: 4.02 g/cm³.

The structure belongs to space group P4_2/nmc (No. 137, origin choice 2); the cell edges are 7.090, 7.090 and 11.330 Å and the angles 90.00°, 90.00° and 90.00°. The inequivalent atoms are Ba at (0.250, 0.750, 0.250), Na at (0.021, 0.250, 0.171) and In at (0.035, 0.250, 0.466).

=====

An optimized crystal structure of Ta. Source: the Alexandria database, functional PBE.

The value obtained for the total DFT energy (no corrections) is -11.852 eV/f.u. The calculation puts the polymorph energy (0 for the lowest one) at 1 meV/atom. As for the density: 16.12 g/cm³.

The structure belongs to space group P-42_1m (No. 113); the cell edges are 10.239, 10.239 and 5.333 Å and the angles 90.00°, 90.00° and 90.00°. The inequivalent atoms are Ta at (0.000, 0.500, 0.249), Ta at (0.035, 0.129, 0.749), Ta at (0.067, 0.239, 0.249), Ta at (0.105, 0.395, 0.749), Ta at (0.182, 0.682, 0.501) and Ta at (0.182, 0.682, 0.999).